Below is an optimized crystal structure of NaCdW2O, with properties calculated at the GGA+U level.

Output
M_tot: 9.671 μB per formula unit
SG: P4/mmm, No. 123
calculated total energy: -2.8586 eV per atom

a b c (Å): 5.6933 4.2219 5.6933
angles (deg): 90.00 90.00 90.00
Element x y z (fractional)
Na: 0.5000 0.5000 0.5000
O: 0.0000 0.5000 0.0000
W: 0.0000 0.0000 0.5000
W: 0.5000 0.0000 0.0000
Cd: 0.0000 0.0000 0.0000